1.
This record from Alexandria via LeMat-Bulk describes a geometry-optimized GaAg3Au5 structure. The functional is GGA-PBE.

N(E_F) ... 6.13 states/eV/cell
Energy of formation ... 119.3 meV per atom

a b c (Å): 7.299 7.299 8.341
angles (deg): 115.95 115.95 90.00
Fractional coordinates of all 18 atoms:
Ga  0.750  0.250  0.500
Ga  0.250  0.750  0.500
Ag  0.624  0.124  0.000
Ag  0.376  0.876  0.000
Ag  0.876  0.624  0.000
Ag  0.124  0.376  0.000
Ag  0.250  0.250  0.500
Ag  0.750  0.750  0.500
Au  0.051  0.551  0.709
Au  0.658  0.158  0.709
Au  0.158  0.051  0.709
Au  0.551  0.658  0.709
Au  0.949  0.449  0.291
Au  0.342  0.842  0.291
Au  0.842  0.949  0.291
Au  0.449  0.342  0.291
Au  0.500  0.500  0.000
Au  0.000  0.000  0.000

2.
This record from Alexandria via LeMat-Bulk describes a geometry-optimized GaAgAu2 structure. The functional is GGA-PBE.

N(E_F) ... 3.99 states/eV/cell
Energy of formation ... -107.9 meV per atom

a b c (Å): 5.034 6.034 9.354
angles (deg): 90.00 89.35 90.00
Fractional coordinates of all 16 atoms:
Ga  0.609  0.100  0.639
Ga  0.109  0.400  0.639
Ga  0.391  0.900  0.361
Ga  0.891  0.600  0.361
Ag  0.075  0.369  0.122
Ag  0.425  0.869  0.878
Ag  0.575  0.131  0.122
Ag  0.925  0.631  0.878
Au  0.569  0.625  0.134
Au  0.069  0.875  0.134
Au  0.871  0.124  0.389
Au  0.931  0.125  0.866
Au  0.129  0.876  0.611
Au  0.629  0.624  0.611
Au  0.431  0.375  0.866
Au  0.371  0.376  0.389

3.
This record from Alexandria via LeMat-Bulk describes a geometry-optimized GaAgAu6 structure. The functional is GGA-PBE.

Excess energy over the best structure of this formula in the dataset ... 0.017 eV per atom
N(E_F) ... 2.63 states/eV/cell
Energy of formation ... -46.6 meV per atom

a b c (Å): 4.191 4.191 8.127
angles (deg): 90.00 90.00 90.00
Fractional coordinates of all 8 atoms:
Ga  0.000  0.000  0.500
Ag  0.000  0.000  0.000
Au  0.500  0.500  0.000
Au  0.500  0.500  0.500
Au  0.500  0.000  0.254
Au  0.500  0.000  0.746
Au  0.000  0.500  0.254
Au  0.000  0.500  0.746

4.
This record from Alexandria via LeMat-Bulk describes a geometry-optimized GaAg4Au5 structure. The functional is GGA-PBE.

Excess energy over the best structure of this formula in the dataset ... 0.000 eV per atom
N(E_F) ... 2.78 states/eV/cell
Energy of formation ... -60.4 meV per atom

a b c (Å): 5.072 6.544 7.686
angles (deg): 47.55 89.24 75.66
Fractional coordinates of all 10 atoms:
Ga  0.000  0.000  0.000
Ag  0.606  0.200  0.599
Ag  0.205  0.397  0.204
Ag  0.795  0.603  0.796
Ag  0.394  0.800  0.401
Au  0.200  0.900  0.707
Au  0.800  0.100  0.293
Au  0.389  0.299  0.901
Au  0.000  0.500  0.500
Au  0.611  0.701  0.099

5.
This record from Alexandria via LeMat-Bulk describes a geometry-optimized Ga2Ag6Au structure. The functional is GGA-PBE.

Excess energy over the best structure of this formula in the dataset ... 0.008 eV per atom
N(E_F) ... 2.22 states/eV/cell
Energy of formation ... 22.0 meV per atom

a b c (Å): 2.956 2.956 21.270
angles (deg): 90.00 90.00 120.00
Fractional coordinates of all 9 atoms:
Ga  0.667  0.333  0.330
Ga  0.667  0.333  0.670
Ag  0.667  0.333  0.887
Ag  0.333  0.667  0.435
Ag  0.333  0.667  0.775
Ag  0.333  0.667  0.225
Ag  0.333  0.667  0.565
Ag  0.667  0.333  0.113
Au  0.333  0.667  0.000

6.
This record from Alexandria via LeMat-Bulk describes a geometry-optimized Ga2Ag5Au4 structure. The functional is GGA-PBE.

Excess energy over the best structure of this formula in the dataset ... 0.083 eV per atom
N(E_F) ... 2.71 states/eV/cell
Energy of formation ... 41.1 meV per atom

a b c (Å): 4.614 8.119 7.127
angles (deg): 124.72 108.89 90.00
Fractional coordinates of all 11 atoms:
Ga  0.133  0.133  0.266
Ga  0.867  0.867  0.734
Ag  0.269  0.602  0.537
Ag  0.731  0.398  0.463
Ag  0.269  0.935  0.537
Ag  0.500  0.000  0.000
Ag  0.731  0.065  0.463
Au  0.626  0.626  0.252
Au  0.000  0.294  0.000
Au  0.374  0.374  0.748
Au  0.000  0.706  0.000

N(E_F) of number 5 (Ga2Ag6Au)? 2.22 states/eV/cell

What did the first record say?
This record from Alexandria via LeMat-Bulk describes a geometry-optimized GaAg3Au5 structure. The functional is GGA-PBE.

N(E_F) ... 6.13 states/eV/cell
Energy of formation ... 119.3 meV per atom

a b c (Å): 7.299 7.299 8.341
angles (deg): 115.95 115.95 90.00
Fractional coordinates of all 18 atoms:
Ga  0.750  0.250  0.500
Ga  0.250  0.750  0.500
Ag  0.624  0.124  0.000
Ag  0.376  0.876  0.000
Ag  0.876  0.624  0.000
Ag  0.124  0.376  0.000
Ag  0.250  0.250  0.500
Ag  0.750  0.750  0.500
Au  0.051  0.551  0.709
Au  0.658  0.158  0.709
Au  0.158  0.051  0.709
Au  0.551  0.658  0.709
Au  0.949  0.449  0.291
Au  0.342  0.842  0.291
Au  0.842  0.949  0.291
Au  0.449  0.342  0.291
Au  0.500  0.500  0.000
Au  0.000  0.000  0.000

Please write out number 3 again, unchanged.
This record from Alexandria via LeMat-Bulk describes a geometry-optimized GaAgAu6 structure. The functional is GGA-PBE.

Excess energy over the best structure of this formula in the dataset ... 0.017 eV per atom
N(E_F) ... 2.63 states/eV/cell
Energy of formation ... -46.6 meV per atom

a b c (Å): 4.191 4.191 8.127
angles (deg): 90.00 90.00 90.00
Fractional coordinates of all 8 atoms:
Ga  0.000  0.000  0.500
Ag  0.000  0.000  0.000
Au  0.500  0.500  0.000
Au  0.500  0.500  0.500
Au  0.500  0.000  0.254
Au  0.500  0.000  0.746
Au  0.000  0.500  0.254
Au  0.000  0.500  0.746